An optimized crystal structure of SmNi5SnAs2. Source: the Alexandria database, functional GGA-PBE.

Summary:
As for the calculated volume: 15.13 Å³/atom. Its total energy is -5.728 eV per atom. The calculation puts the formation energy from the elements at -0.5141 eV per atom. As for the density: 8.686 g/cm³.

Cell: 4.0558 4.0558 8.2796 Å, 90.00 90.00 90.00°
Sites, in units of the cell vectors:
Sm 0.0000 0.0000 0.0000
Ni 0.0000 0.5000 0.2983
Ni 0.0000 0.5000 0.7017
Ni 0.5000 0.0000 0.2983
Ni 0.5000 0.0000 0.7017
Ni 0.5000 0.5000 0.5000
Sn 0.0000 0.0000 0.5000
As 0.5000 0.5000 0.1638
As 0.5000 0.5000 0.8362